1.
PmSmAsO PBE-GGA relaxed; crystal system = tetragonal; energy relative to the lowest polymorph listed for this composition = 0.38 eV/f.u.; SG = P4/nmm, No. 129
1.0
4.375 0.000 0.000
0.000 4.375 0.000
0.000 0.000 9.240
Pm Sm As O
2 2 2 2
Cartesian
1.094 3.281 0.000
3.281 1.094 0.000
1.094 1.094 3.668
3.281 3.281 5.572
1.094 1.094 7.290
3.281 3.281 1.950
1.094 3.281 4.620
3.281 1.094 4.620

***

2.
Na4BiAsAu2 PBE-GGA relaxed; crystal system = orthorhombic; E = -47.77 eV/cell; SG = Amm2, No. 38
1.0
5.831 0.000 0.000
0.000 9.079 0.000
0.000 0.000 7.333
Na Bi As Au
8 2 2 4
Cartesian
0.000 1.608 0.000
0.000 2.932 3.666
0.000 6.147 3.666
0.000 7.472 0.000
2.916 1.700 2.421
2.916 2.839 6.087
2.916 6.240 6.087
2.916 7.379 2.421
0.000 0.000 2.694
0.000 4.540 6.361
2.916 0.000 7.162
2.916 4.540 3.496
1.468 0.000 5.068
1.468 4.540 1.402
4.363 0.000 5.068
4.363 4.540 1.402

***

3.
ZrCoAu PBE-GGA relaxed; crystal system = cubic; energy of formation = -11.2 kJ/mol of atoms; SG = F-43m, No. 216
1.0
6.094 0.000 0.000
0.000 6.094 0.000
0.000 0.000 6.094
Zr Co Au
4 4 4
Cartesian
0.000 0.000 0.000
0.000 3.047 3.047
3.047 0.000 3.047
3.047 3.047 0.000
1.523 1.523 4.570
1.523 4.570 1.523
4.570 1.523 1.523
4.570 4.570 4.570
0.000 0.000 3.047
0.000 3.047 0.000
3.047 0.000 0.000
3.047 3.047 3.047

***

4.
GdErAl PBE-GGA relaxed; crystal system = cubic; energy relative to the lowest polymorph listed for this composition = 2.41 eV/f.u.; SG = F-43m, No. 216
1.0
7.156 0.000 0.000
0.000 7.156 0.000
0.000 0.000 7.156
Gd Er Al
4 4 4
Cartesian
0.000 0.000 0.000
0.000 3.578 3.578
3.578 0.000 3.578
3.578 3.578 0.000
1.789 1.789 5.367
1.789 5.367 1.789
5.367 1.789 1.789
5.367 5.367 5.367
0.000 0.000 3.578
0.000 3.578 0.000
3.578 0.000 0.000
3.578 3.578 3.578

***

5.
ZnCuWAu PBE-GGA relaxed; crystal system = cubic; energy of formation = 49.3 kJ/mol of atoms; energy relative to the lowest polymorph listed for this composition = 0.05 eV/f.u.; SG = F-43m, No. 216
1.0
6.264 0.000 0.000
0.000 6.264 0.000
0.000 0.000 6.264
Zn Cu W Au
4 4 4 4
Cartesian
0.000 0.000 0.000
0.000 3.132 3.132
3.132 0.000 3.132
3.132 3.132 0.000
1.566 1.566 1.566
1.566 4.698 4.698
4.698 1.566 4.698
4.698 4.698 1.566
1.566 1.566 4.698
1.566 4.698 1.566
4.698 1.566 1.566
4.698 4.698 4.698
0.000 0.000 3.132
0.000 3.132 0.000
3.132 0.000 0.000
3.132 3.132 3.132

***

6.
PuF3 PBE-GGA relaxed; crystal system = monoclinic; E = -68.26 eV/cell; SG = P2_1/m, No. 11
1.0
5.950 0.000 0.000
0.000 3.661 0.000
-2.968 0.000 5.157
Pu F
2 6
Cartesian
0.003 0.915 1.718
2.979 2.746 3.439
-1.413 0.915 3.600
0.919 2.746 0.449
0.643 2.746 3.149
2.339 0.915 2.008
2.063 0.915 4.708
4.395 2.746 1.558